Computed, not measured: an optimized crystal structure of Ti6Ga2B at the PBE level of DFT.

Cell: 5.4643 5.4643 11.3294 Å, 90.00 90.00 90.00°
Fractional coordinates of all 18 atoms:
Ti: 0.1862 0.8138 0.1365
Ti: 0.2836 0.2836 0.0000
Ti: 0.6862 0.6862 0.3635
Ti: 0.7836 0.2164 0.5000
Ti: 0.3138 0.3138 0.6365
Ti: 0.6862 0.6862 0.6365
Ti: 0.3138 0.3138 0.3635
Ti: 0.7164 0.7164 0.0000
Ti: 0.8138 0.1862 0.1365
B: 0.0000 0.0000 0.0000
Ga: 0.5000 0.5000 0.8248
Ga: 0.0000 0.0000 0.6752
B: 0.5000 0.5000 0.5000
Ti: 0.8138 0.1862 0.8635
Ti: 0.2164 0.7836 0.5000
Ga: 0.0000 0.0000 0.3248
Ti: 0.1862 0.8138 0.8635
Ga: 0.5000 0.5000 0.1752

Calculated values
- energy relative to the elements (meV/atom) = 160
- VASP energy (eV/cell) = -117.323
- symmetry = P4_2/mnm (136)